(1)
VASP calculation (PBE) on a relaxed structure of LaZn2Cl.

Calculated values
- Formation energy without anion corrections: -0.84 eV/f.u.
- DFT total energy: -10.159 eV for the cell shown
- Theoretical density: 5.20 g cm⁻³

Structure (CIF):
```
data_LaZn2Cl
_cell_length_a 5.164
_cell_length_b 5.164
_cell_length_c 5.164
_cell_angle_alpha 60.00
_cell_angle_beta 60.00
_cell_angle_gamma 60.00
_symmetry_space_group_name_H-M 'P 1'
_symmetry_Int_Tables_number 1
_symmetry_space_group_name_Hall 'P 1'
loop_
_atom_site_label
_atom_site_type_symbol
_atom_site_fract_x
_atom_site_fract_y
_atom_site_fract_z
_atom_site_occupancy
Zn1 Zn 0.750 0.750 0.750 1
Zn2 Zn 0.250 0.250 0.250 1
Cl1 Cl 0.000 0.000 0.000 1
La1 La 0.500 0.500 0.500 1
```



(2)
VASP calculation (PBE) on a relaxed structure of LaZn2Cl.

Calculated values
- Formation energy without anion corrections: -2.26 eV/f.u.
- DFT total energy: -11.583 eV for the cell shown
- Theoretical density: 5.64 g cm⁻³

Structure (CIF):
```
data_LaZn2Cl
_cell_length_a 5.222
_cell_length_b 5.223
_cell_length_c 5.222
_cell_angle_alpha 126.10
_cell_angle_beta 126.11
_cell_angle_gamma 79.66
_symmetry_space_group_name_H-M 'P 1'
_symmetry_Int_Tables_number 1
_symmetry_space_group_name_Hall 'P 1'
loop_
_atom_site_label
_atom_site_type_symbol
_atom_site_fract_x
_atom_site_fract_y
_atom_site_fract_z
_atom_site_occupancy
Cl1 Cl 0.500 0.500 0.000 1
Zn1 Zn 0.000 0.000 0.000 1
Zn2 Zn 0.750 0.250 0.500 1
La1 La 0.250 0.750 0.500 1
```



(3)
VASP calculation (PBE) on a relaxed structure of LaZn2Cl.

Calculated values
- Formation energy without anion corrections: -1.98 eV/f.u.
- DFT total energy: -11.305 eV for the cell shown
- Theoretical density: 4.77 g cm⁻³

Structure (CIF):
```
data_LaZn2Cl
_cell_length_a 3.774
_cell_length_b 5.127
_cell_length_c 5.488
_cell_angle_alpha 90.00
_cell_angle_beta 90.00
_cell_angle_gamma 90.00
_symmetry_space_group_name_H-M 'P 1'
_symmetry_Int_Tables_number 1
_symmetry_space_group_name_Hall 'P 1'
loop_
_atom_site_label
_atom_site_type_symbol
_atom_site_fract_x
_atom_site_fract_y
_atom_site_fract_z
_atom_site_occupancy
Zn1 Zn 0.000 0.000 0.510 1
Zn2 Zn 0.000 0.000 0.990 1
La1 La 0.500 0.500 0.750 1
Cl1 Cl 0.500 0.500 0.250 1
```



(4)
VASP calculation (PBE) on a relaxed structure of LaZn2Cl.

Calculated values
- Formation energy without anion corrections: -2.29 eV/f.u.
- DFT total energy: -11.613 eV for the cell shown
- Theoretical density: 5.26 g cm⁻³

Structure (CIF):
```
data_LaZn2Cl
_cell_length_a 6.026
_cell_length_b 3.718
_cell_length_c 4.302
_cell_angle_alpha 88.93
_cell_angle_beta 90.00
_cell_angle_gamma 90.00
_symmetry_space_group_name_H-M 'P 1'
_symmetry_Int_Tables_number 1
_symmetry_space_group_name_Hall 'P 1'
loop_
_atom_site_label
_atom_site_type_symbol
_atom_site_fract_x
_atom_site_fract_y
_atom_site_fract_z
_atom_site_occupancy
Cl1 Cl 0.500 0.250 0.250 1
Zn1 Zn 0.000 0.001 0.988 1
Zn2 Zn 0.000 0.499 0.512 1
La1 La 0.500 0.750 0.750 1
```



Number 1: DOS(E_F) 1.314 states/eV/atom, M_tot 0.0 Bohr magnetons per cell. Number 2: DOS(E_F) 0.771 states/eV/atom, M_tot 0.0 Bohr magnetons per cell. Number 3: DOS(E_F) 0.598 states/eV/atom, M_tot 0.0 Bohr magnetons per cell. Number 4: DOS(E_F) 0.694 states/eV/atom, M_tot 0.0 Bohr magnetons per cell.